LiVO2F2 | GGA+U | optimized geometry

Cell and atoms, written as POSCAR:
```
LiVO2F2
1.0
3.905 0.000 0.000
0.000 6.242 -0.159
0.000 1.354 6.397
V Li F O
2 2 4 4
Cartesian
1.182 2.271 4.478
3.135 5.325 1.760
0.201 2.268 0.954
2.153 5.328 5.284
3.115 5.181 3.626
1.163 2.415 2.612
3.126 2.309 4.196
1.174 5.287 2.042
1.191 7.062 5.080
3.129 4.052 0.662
3.143 0.534 1.158
1.177 3.544 5.576
```

Values from the calculation:
N(E_F): 0.00 states/eV/f.u.
Energy relative to the lowest polymorph listed for this composition: 62 meV/atom